1.
# RbCaMg4 PBE-GGA relaxed
# - ρ (g/cm³) = 1.9
# - total magnetization (μB/f.u.) = 0.0
# - ΔE_f (meV per atom) = 92
data_RbCaMg4
_chemical_formula_sum 'Rb4 Ca4 Mg16'
_space_group_name_H-M_alt 'F -4 3 m'
_space_group_IT_number 216
_space_group_name_Hall 'F -4 2 3'
_cell_length_a 9.142
_cell_length_b 9.142
_cell_length_c 9.142
_cell_angle_alpha 90.00
_cell_angle_beta 90.00
_cell_angle_gamma 90.00
loop_
_atom_site_label
_atom_site_type_symbol
_atom_site_fract_x
_atom_site_fract_y
_atom_site_fract_z
_atom_site_occupancy
Rb1 Rb 0.000 0.000 0.000 1
Ca1 Ca 0.250 0.250 0.250 1
Mg1 Mg 0.124 0.124 0.624 1

***

2.
# La3Ce2PuTe6 PBE-GGA relaxed
# - ρ (g/cm³) = 7.6
# - total magnetization (μB/f.u.) = 10.3
# - ΔE_f (raw) (eV per atom) = -1.29
data_La3Ce2PuTe6
_chemical_formula_sum 'La6 Ce4 Pu2 Te12'
_space_group_name_H-M_alt 'C 1 2/m 1'
_space_group_IT_number 12
_space_group_name_Hall '-C 2y'
_cell_length_a 23.596
_cell_length_b 3.996
_cell_length_c 7.875
_cell_angle_alpha 90.00
_cell_angle_beta 90.70
_cell_angle_gamma 90.00
loop_
_atom_site_label
_atom_site_type_symbol
_atom_site_fract_x
_atom_site_fract_y
_atom_site_fract_z
_atom_site_occupancy
La1 La 0.000 0.000 0.000 1
La2 La 0.162 0.000 0.987 1
Ce1 Ce 0.156 0.000 0.508 1
Pu1 Pu 0.000 0.000 0.500 1
Te1 Te 0.078 0.500 0.747 1
Te2 Te 0.087 0.500 0.246 1
Te3 Te 0.236 0.500 0.736 1

***

3.
# BeSb3Se PBE-GGA relaxed
# - ρ (g/cm³) = 4.8
# - total magnetization (μB/f.u.) = 0.0
# - ΔE_f (raw) (eV per atom) = 1.16
data_BeSb3Se
_chemical_formula_sum 'Be1 Sb3 Se1'
_space_group_name_H-M_alt 'P m -3 m'
_space_group_IT_number 221
_space_group_name_Hall '-P 4 2 3'
_cell_length_a 5.397
_cell_length_b 5.397
_cell_length_c 5.397
_cell_angle_alpha 90.00
_cell_angle_beta 90.00
_cell_angle_gamma 90.00
loop_
_atom_site_label
_atom_site_type_symbol
_atom_site_fract_x
_atom_site_fract_y
_atom_site_fract_z
_atom_site_occupancy
Be1 Be 0.000 0.000 0.000 1
Sb1 Sb 0.000 0.500 0.500 1
Se1 Se 0.500 0.500 0.500 1

***

4.
# CeNd5In5 PBE-GGA relaxed
# - ρ (g/cm³) = 6.9
# - total magnetization (μB/f.u.) = 1.0
# - ΔE_f (meV per atom) = -193
data_CeNd5In5
_chemical_formula_sum 'Ce2 Nd10 In10'
_space_group_name_H-M_alt 'C 1 2/m 1'
_space_group_IT_number 12
_space_group_name_Hall '-C 2y'
_cell_length_a 17.546
_cell_length_b 6.004
_cell_length_c 6.605
_cell_angle_alpha 90.00
_cell_angle_beta 90.20
_cell_angle_gamma 90.00
loop_
_atom_site_label
_atom_site_type_symbol
_atom_site_fract_x
_atom_site_fract_y
_atom_site_fract_z
_atom_site_occupancy
Ce1 Ce 0.000 0.000 0.000 1
Nd1 Nd 0.000 0.000 0.500 1
Nd2 Nd 0.158 0.500 0.497 1
Nd3 Nd 0.178 0.500 0.998 1
In1 In 0.000 0.500 0.000 1
In2 In 0.164 0.000 0.261 1
In3 In 0.164 0.000 0.739 1

***

5.
# RbPSeS2 PBE-GGA relaxed
# - ρ (g/cm³) = 1.5
# - total magnetization (μB/f.u.) = 8.0
# - ΔE_f (raw) (eV per atom) = 1.65
data_RbPSeS2
_chemical_formula_sum 'Rb1 P1 Se1 S2'
_space_group_name_H-M_alt 'P 4/m m m'
_space_group_IT_number 123
_space_group_name_Hall '-P 4 2'
_cell_length_a 6.474
_cell_length_b 6.474
_cell_length_c 6.727
_cell_angle_alpha 90.00
_cell_angle_beta 90.00
_cell_angle_gamma 90.00
loop_
_atom_site_label
_atom_site_type_symbol
_atom_site_fract_x
_atom_site_fract_y
_atom_site_fract_z
_atom_site_occupancy
Rb1 Rb 0.000 0.000 0.000 1
P1 P 0.000 0.000 0.500 1
Se1 Se 0.500 0.500 0.500 1
S1 S 0.000 0.500 0.000 1

***

6.
# Ba2DyYSe4 PBE-GGA relaxed
# - ρ (g/cm³) = 5.9
# - total magnetization (μB/f.u.) = 0.0
# - ΔE_f (raw) (eV per atom) = -1.88
data_Ba2DyYSe4
_chemical_formula_sum 'Ba2 Dy1 Y1 Se4'
_space_group_name_H-M_alt 'P 1 2/m 1'
_space_group_IT_number 10
_space_group_name_Hall '-P 2y'
_cell_length_a 7.418
_cell_length_b 4.296
_cell_length_c 7.793
_cell_angle_alpha 90.00
_cell_angle_beta 108.62
_cell_angle_gamma 90.00
loop_
_atom_site_label
_atom_site_type_symbol
_atom_site_fract_x
_atom_site_fract_y
_atom_site_fract_z
_atom_site_occupancy
Ba1 Ba 0.000 0.000 0.000 1
Ba2 Ba 0.500 0.500 0.000 1
Dy1 Dy 0.000 0.500 0.500 1
Y1 Y 0.500 0.000 0.500 1
Se1 Se 0.237 0.000 0.712 1
Se2 Se 0.262 0.500 0.288 1

***

7.
# MgCrGaOs PBE-GGA relaxed
# - ρ (g/cm³) = 9.8
# - total magnetization (μB/f.u.) = 1.0
# - ΔE_f (meV per atom) = 62
data_MgCrGaOs
_chemical_formula_sum 'Mg4 Cr4 Ga4 Os4'
_space_group_name_H-M_alt 'F -4 3 m'
_space_group_IT_number 216
_space_group_name_Hall 'F -4 2 3'
_cell_length_a 6.108
_cell_length_b 6.108
_cell_length_c 6.108
_cell_angle_alpha 90.00
_cell_angle_beta 90.00
_cell_angle_gamma 90.00
loop_
_atom_site_label
_atom_site_type_symbol
_atom_site_fract_x
_atom_site_fract_y
_atom_site_fract_z
_atom_site_occupancy
Mg1 Mg 0.000 0.000 0.000 1
Cr1 Cr 0.250 0.250 0.750 1
Ga1 Ga 0.250 0.250 0.250 1
Os1 Os 0.000 0.000 0.500 1

***

8.
# AsPC2 PBE-GGA relaxed
# - ρ (g/cm³) = 2.9
# - total magnetization (μB/f.u.) = 0.0
# - ΔE_f (meV per atom) = 553
data_AsPC2
_chemical_formula_sum 'As2 P2 C4'
_space_group_name_H-M_alt 'C 1 m 1'
_space_group_IT_number 8
_space_group_name_Hall 'C -2y'
_cell_length_a 11.406
_cell_length_b 3.018
_cell_length_c 4.817
_cell_angle_alpha 90.00
_cell_angle_beta 114.16
_cell_angle_gamma 90.00
loop_
_atom_site_label
_atom_site_type_symbol
_atom_site_fract_x
_atom_site_fract_y
_atom_site_fract_z
_atom_site_occupancy
As1 As 0.000 0.000 0.000 1
P1 P 0.324 0.500 0.486 1
C1 C 0.378 0.000 0.347 1
C2 C 0.437 0.000 0.153 1

***

| no. | VASP energy (eV/atom) |
| --- | --- |
| 1 | -1.47 |
| 2 | -6.27 |
| 3 | -2.76 |
| 4 | -4.14 |
| 5 | -1.97 |
| 6 | -5.49 |
| 7 | -6.31 |
| 8 | -6.57 |